# 1
Compound: CeHoHg3
Source: the Alexandria database
Functional: PBE-GGA
Structure: optimized geometry

Computed properties:
- energy of formation from the pure elements (eV per atom) = -0.376
- space-group type = Cmcm, No. 63

Unit cell a=3.513 b=4.991 c=14.831 alpha=90.00 beta=96.80 gamma=90.00
Element x y z (fractional)
Ce  0.924  0.750  0.848
Ce  0.076  0.250  0.152
Ho  0.212  0.750  0.423
Ho  0.788  0.250  0.577
Hg  0.624  0.750  0.247
Hg  0.376  0.250  0.753
Hg  0.525  0.750  0.049
Hg  0.475  0.250  0.951
Hg  0.682  0.250  0.365
Hg  0.318  0.750  0.635



# 2
Compound: Hf3RuN
Source: the Alexandria database
Functional: PBE-GGA
Structure: optimized geometry

Computed properties:
- ΔE_f (raw) (meV per atom) = 1230
- space-group type = Pm-3m, No. 221

Unit cell a=4.917 b=4.917 c=4.917 alpha=90.00 beta=90.00 gamma=90.00
Element x y z (fractional)
Ru  0.000  0.000  0.000
Hf  0.000  0.500  0.000
Hf  0.000  0.000  0.500
Hf  0.500  0.000  0.000
N  0.500  0.500  0.500